{"formula": "LaPaPt2", "functional": "GGA-PBE", "state": "optimized geometry", "formation_enthalpy_0k_mev_per_atom": -1034, "polymorph_energy_mev_per_atom": 0.0, "lattice": [[-2.785, -3.339, -0.549], [4.634, -2.928, -5.709], [-0.438, -0.911, 7.769]], "species": ["La", "La", "Pa", "Pa", "Pt", "Pt", "Pt", "Pt"], "frac_coords": [[0.250, 0.221, 0.036], [0.750, 0.779, 0.964], [0.750, 0.768, 0.453], [0.250, 0.232, 0.547], [0.250, 0.711, 0.178], [0.750, 0.289, 0.822], [0.750, 0.321, 0.379], [0.250, 0.679, 0.621]]}